Record 1
Entry from Alexandria via LeMat-Bulk: a geometry-optimized NdSm2Tl structure (PBE-GGA).

Results
Calculated volume (Å³ per cell): 397
Size of the total moment (μB/f.u.): 0.00
DFT formation energy (eV per atom): -0.102
ΔE to the lowest computed polymorph (meV per atom): 96

Cell: 3.7361 3.7361 32.8057 Å, 90.00 90.00 120.00°
Space group R3m (No. 160, hexagonal axes)
Inequivalent atoms, fractional coordinates:
Nd 0.0000 0.0000 0.0000 x3
Sm 0.0000 0.0000 0.5768 x3
Sm 0.0000 0.0000 0.7570 x3
Tl 0.0000 0.0000 0.1667 x3

---

Record 2
Entry from Alexandria via LeMat-Bulk: a geometry-optimized Nd3Sm6Tl structure (PBE-GGA).

Results
Calculated volume (Å³ per cell): 1344
Size of the total moment (μB/f.u.): 0.00
DFT formation energy (eV per atom): 0.022
ΔE to the lowest computed polymorph (meV per atom): 15

Cell: 11.1511 19.2270 6.2690 Å, 90.00 90.00 90.00°
Space group Cmc2_1 (No. 36)
Inequivalent atoms, fractional coordinates:
Nd 0.0000 0.1072 0.0000 x4
Nd 0.1624 0.3945 0.3938 x8
Sm 0.0000 0.2259 0.6103 x4
Sm 0.0000 0.4393 0.8797 x4
Sm 0.1615 0.0499 0.4799 x8
Sm 0.2375 0.2120 0.2901 x8
Tl 0.0000 0.2833 0.0909 x4

---

Record 3
Entry from Alexandria via LeMat-Bulk: a geometry-optimized Nd3SmTl4 structure (PBE-GGA).

Results
Calculated volume (Å³ per cell): 513
Size of the total moment (μB/f.u.): 0.28
DFT formation energy (eV per atom): -0.249
ΔE to the lowest computed polymorph (meV per atom): 142

Cell: 3.7292 7.3930 18.6224 Å, 90.00 90.00 90.00°
Space group Immm (No. 71)
Inequivalent atoms, fractional coordinates:
Nd 0.0000 0.0000 0.0000 x2
Nd 0.0000 0.5000 0.2154 x4
Sm 0.0000 0.0000 0.5000 x2
Tl 0.0000 0.2887 0.3730 x8

---

Record 4
Entry from Alexandria via LeMat-Bulk: a geometry-optimized Nd5Sm2Tl4 structure (PBE-GGA).

Results
Calculated volume (Å³ per cell): 336
Size of the total moment (μB/f.u.): 0.00
DFT formation energy (eV per atom): -0.202
ΔE to the lowest computed polymorph (meV per atom): 0

Cell: 8.8382 3.5500 10.7729 Å, 90.00 95.71 90.00°
Space group P2/m (No. 10)
Inequivalent atoms, fractional coordinates:
Nd 0.0000 0.0000 0.0000 x1
Nd 0.0348 0.0000 0.3341 x2
Nd 0.3396 0.0000 0.8592 x2
Sm 0.4139 0.0000 0.3622 x2
Tl 0.2552 0.5000 0.5791 x2
Tl 0.2981 0.5000 0.1205 x2